Entry 1:
The following is a DFT calculation (PBE) of a geometry-optimized Pm3PrPb2 structure.

Cell: 4.6705 4.6705 8.9348 Å, 90.00 90.00 90.00°
Closest atoms and distances in Å follow each position.
Fractional positions:
Pm1 0.5000 0.0000 0.3480  5 Pb 3.27-3.35
Pm2 0.0000 0.5000 0.6520  5 Pb 3.27-3.35
Pb1 0.5000 0.0000 0.7140  7 Pm 3.27-3.46, 2 Pr 3.46
Pm3 0.0000 0.0000 0.0000  4 Pr 3.30, 4 Pb 3.46
Pr1 0.5000 0.5000 0.0000  4 Pm 3.30, 4 Pb 3.46
Pb2 0.0000 0.5000 0.2860  7 Pm 3.27-3.46, 2 Pr 3.46

Computed properties:
Distance to the lowest polymorph of the same formula, eV per atom: 0.000
DFT formation energy, eV per atom: -0.4381
Magnetic moment, μB per formula unit: 0.0
Density of states at the Fermi level, states/eV per cell: 6.9
SG: P-4m2 (115)
Electronic total energy, eV/atom: -4.8461
Crystal system: tetragonal

Entry 2:
The following is a DFT calculation (PBE) of a geometry-optimized Pm4PrPb structure.

Cell: 5.7526 11.5200 6.9594 Å, 90.00 90.00 119.97°
Closest atoms and distances in Å follow each position.
Fractional positions:
Pm1 0.6318 0.3821 0.2500  1 Pb 3.18, 4 Pr 3.42-3.52
Pb1 0.6866 0.9368 0.7500  7 Pm 3.18-3.53
Pm2 0.9976 0.2479 0.5083  7 Pm 3.36-3.77, 1 Pb 3.53, 1 Pr 3.66
Pr1 0.6828 0.4329 0.7500  11 Pm 3.42-3.81
Pm3 0.3682 0.6179 0.7500  1 Pb 3.18, 4 Pr 3.42-3.52
Pr2 0.3172 0.5671 0.2500  11 Pm 3.42-3.81
Pm4 0.3335 0.0838 0.7500  4 Pb 3.23-3.49, 1 Pr 3.48
Pm5 0.0024 0.7521 0.0083  7 Pm 3.36-3.77, 1 Pb 3.53, 1 Pr 3.66
Pm6 0.0024 0.7521 0.4917  7 Pm 3.36-3.77, 1 Pb 3.53, 1 Pr 3.66
Pb2 0.3134 0.0632 0.2500  7 Pm 3.18-3.53
Pm7 0.6665 0.9162 0.2500  4 Pb 3.23-3.49, 1 Pr 3.48
Pm8 0.9976 0.2479 0.9917  7 Pm 3.36-3.77, 1 Pb 3.53, 1 Pr 3.66

Computed properties:
DFT formation energy, eV per atom: -0.1632
Magnetic moment, μB per formula unit: 0.0
Density of states at the Fermi level, states/eV per cell: 17.4
SG: Pmmn (59)
Electronic total energy, eV/atom: -4.7449
Crystal system: orthorhombic

Entry 3:
The following is a DFT calculation (PBE) of a geometry-optimized Pm2Pr2Pb structure.

Cell: 4.4974 4.4974 9.3874 Å, 103.86 103.86 90.00°
Closest atoms and distances in Å follow each position.
Fractional positions:
Pr1 0.2500 0.7500 0.5000  4 Pr 3.18
Pb1 0.0000 0.0000 0.0000  8 Pm 3.51
Pm1 0.4154 0.4154 0.8307  1 Pm 2.99
Pr2 0.7500 0.2500 0.5000  4 Pr 3.18
Pm2 0.5846 0.5846 0.1693  1 Pm 2.99

Computed properties:
DFT formation energy, eV per atom: 0.2089
Magnetic moment, μB per formula unit: 0.0
Density of states at the Fermi level, states/eV per cell: 5.9
SG: I4/mmm (139)
Electronic total energy, eV/atom: -4.3448
Crystal system: tetragonal

Entry 4:
The following is a DFT calculation (PBE) of a geometry-optimized Pm4Pr3Pb4 structure.

Cell: 4.2243 9.4032 10.5655 Å, 116.42 101.53 90.00°
Closest atoms and distances in Å follow each position.
Fractional positions:
Pr1 0.0980 0.0980 0.1960  6 Pb 3.25-3.47, 1 Pr 3.61
Pb1 0.5000 0.7793 0.0000  2 Pm 3.26, 6 Pr 3.37-3.47
Pb2 0.5000 0.2207 0.0000  2 Pm 3.26, 6 Pr 3.37-3.47
Pm1 0.3305 0.1501 0.6611  4 Pb 3.22-3.26, 1 Pm 3.39
Pm2 0.6695 0.4891 0.3389  4 Pb 3.22-3.26, 1 Pm 3.39
Pr2 0.9020 0.9020 0.8040  6 Pb 3.25-3.47, 1 Pr 3.61
Pb3 0.7322 0.2322 0.4643  6 Pm 3.22-3.26, 2 Pr 3.25
Pm3 0.3305 0.5109 0.6611  4 Pb 3.22-3.26, 1 Pm 3.39
Pb4 0.2678 0.7678 0.5357  6 Pm 3.22-3.26, 2 Pr 3.25
Pr3 0.0000 0.5000 0.0000  4 Pb 3.37
Pm4 0.6695 0.8499 0.3389  4 Pb 3.22-3.26, 1 Pm 3.39

Computed properties:
DFT formation energy, eV per atom: -0.3973
Magnetic moment, μB per formula unit: 1.4
Density of states at the Fermi level, states/eV per cell: 13.4
SG: Immm (71)
Electronic total energy, eV/atom: -4.7768
Crystal system: orthorhombic

Entry 5:
The following is a DFT calculation (PBE) of a geometry-optimized Pm5Pr8Pb structure.

Cell: 8.6757 8.6759 8.6757 Å, 109.27 109.87 109.27°
Closest atoms and distances in Å follow each position.
Fractional positions:
Pr1 0.1493 0.7136 0.0486  1 Pb 3.22, 4 Pm 3.35-3.47, 1 Pr 3.56
Pm1 0.0041 0.3046 0.1103  7 Pr 3.36-3.66, 2 Pm 3.75
Pr2 0.5046 0.6001 0.2311  5 Pm 3.51-3.78, 3 Pr 3.52-3.88, 1 Pb 3.62
Pb1 0.2500 0.5000 0.7500  4 Pr 3.22
Pm2 0.8897 0.8938 0.1943  7 Pr 3.36-3.66, 2 Pm 3.75
Pr3 0.5643 0.8993 0.8507  1 Pb 3.22, 4 Pm 3.35-3.47, 1 Pr 3.56
Pm3 0.5000 0.0000 0.5000  8 Pr 3.35-3.51
Pm4 0.8057 0.6954 0.6995  7 Pr 3.36-3.66, 2 Pm 3.75
Pr4 0.6310 0.3999 0.9045  5 Pm 3.51-3.78, 3 Pr 3.52-3.88, 1 Pb 3.62
Pm5 0.3005 0.1062 0.9959  7 Pr 3.36-3.66, 2 Pm 3.75
Pr5 0.0955 0.7265 0.4954  5 Pm 3.51-3.78, 3 Pr 3.52-3.88, 1 Pb 3.62
Pr6 0.9514 0.1007 0.6650  1 Pb 3.22, 4 Pm 3.35-3.47, 1 Pr 3.56
Pr7 0.7689 0.2735 0.3690  5 Pm 3.51-3.78, 3 Pr 3.52-3.88, 1 Pb 3.62
Pr8 0.3350 0.2864 0.4357  1 Pb 3.22, 4 Pm 3.35-3.47, 1 Pr 3.56

Computed properties:
DFT formation energy, eV per atom: 0.1502
Magnetic moment, μB per formula unit: 0.0
Density of states at the Fermi level, states/eV per cell: 22.8
SG: I-4 (82)
Electronic total energy, eV/atom: -4.5424
Crystal system: tetragonal

Entry 6:
The following is a DFT calculation (PBE) of a geometry-optimized Pm14PrPb structure.

Cell: 7.2494 7.2494 10.2396 Å, 90.00 90.00 90.01°
Closest atoms and distances in Å follow each position.
Fractional positions:
Pr1 0.3749 0.6251 0.0000  12 Pm 3.62-3.63
Pm1 0.6278 0.8778 0.7534  1 Pb 3.58, 10 Pm 3.58-3.67, 1 Pr 3.62
Pm2 0.1222 0.3722 0.7534  1 Pb 3.58, 10 Pm 3.58-3.67, 1 Pr 3.62
Pm3 0.8749 0.6248 0.5000  12 Pm 3.62-3.65
Pm4 0.1221 0.8779 0.7531  1 Pb 3.58, 10 Pm 3.58-3.67, 1 Pr 3.62
Pm5 0.1221 0.8779 0.2469  1 Pb 3.58, 10 Pm 3.58-3.67, 1 Pr 3.62
Pm6 0.8753 0.6254 0.0000  8 Pm 3.60, 2 Pr 3.62-3.63, 2 Pb 3.62-3.63
Pm7 0.3752 0.1251 0.5000  12 Pm 3.62-3.65
Pm8 0.3746 0.1247 0.0000  8 Pm 3.60, 2 Pr 3.62-3.63, 2 Pb 3.62-3.63
Pb1 0.8750 0.1250 0.0000  12 Pm 3.57-3.63
Pm9 0.6279 0.3721 0.7538  1 Pb 3.57, 10 Pm 3.58-3.67, 1 Pr 3.62
Pm10 0.8749 0.1251 0.5000  12 Pm 3.62-3.63
Pm11 0.6279 0.3721 0.2462  1 Pb 3.57, 10 Pm 3.58-3.67, 1 Pr 3.62
Pm12 0.6278 0.8778 0.2466  1 Pb 3.58, 10 Pm 3.58-3.67, 1 Pr 3.62
Pm13 0.3753 0.6247 0.5000  12 Pm 3.62-3.67
Pm14 0.1222 0.3722 0.2466  1 Pb 3.58, 10 Pm 3.58-3.67, 1 Pr 3.62

Computed properties:
DFT formation energy, eV per atom: -0.0411
Magnetic moment, μB per formula unit: 0.0
Density of states at the Fermi level, states/eV per cell: 23.0
SG: P4/mmm (123)
Electronic total energy, eV/atom: -4.7284
Crystal system: tetragonal

Entry 7:
The following is a DFT calculation (PBE) of a geometry-optimized Pm5PrPb3 structure.

Cell: 6.7903 9.7305 9.7304 Å, 120.00 90.00 90.00°
Closest atoms and distances in Å follow each position.
Fractional positions:
Pr1 0.0000 0.0000 0.0000  2 Pr 3.40, 6 Pm 3.66, 6 Pb 3.67
Pm1 0.7500 0.0000 0.3334  5 Pb 3.23-3.40
Pr2 0.5000 0.0000 0.0000  2 Pr 3.40, 6 Pm 3.66, 6 Pb 3.67
Pb1 0.2500 0.6656 0.6656  5 Pm 3.23-3.40
Pb2 0.7500 0.3344 0.3344  5 Pm 3.23-3.40
Pm2 0.7500 0.6666 0.6666  5 Pb 3.23-3.40
Pb3 0.2500 0.3344 0.0000  5 Pm 3.23-3.40
Pm3 0.0000 0.6667 0.3333  8 Pm 3.40-3.66, 6 Pb 3.66
Pb4 0.7500 0.0000 0.6656  5 Pm 3.23-3.40
Pm4 0.7500 0.3334 0.0000  5 Pb 3.23-3.40
Pm5 0.2500 0.0000 0.6666  5 Pb 3.23-3.40
Pb5 0.2500 0.0000 0.3344  5 Pm 3.23-3.40
Pm6 0.2500 0.6666 0.0000  5 Pb 3.23-3.40
Pm7 0.5000 0.6667 0.3333  8 Pm 3.40-3.66, 6 Pb 3.66
Pm8 0.5000 0.3333 0.6667  8 Pm 3.40-3.66, 6 Pb 3.66
Pm9 0.0000 0.3333 0.6667  8 Pm 3.40-3.66, 6 Pb 3.66
Pm10 0.2500 0.3334 0.3334  5 Pb 3.23-3.40
Pb6 0.7500 0.6656 0.0000  5 Pm 3.23-3.40

Computed properties:
DFT formation energy, eV per atom: -0.4314
Magnetic moment, μB per formula unit: 2.7
Density of states at the Fermi level, states/eV per cell: 21.2
SG: P6_3/mcm (193)
Electronic total energy, eV/atom: -4.8378
Crystal system: hexagonal

Entry 8:
The following is a DFT calculation (PBE) of a geometry-optimized Pm7PrPb5 structure.

Cell: 6.6629 8.6056 8.6056 Å, 83.18 67.22 67.22°
Closest atoms and distances in Å follow each position.
Fractional positions:
Pb1 0.5152 0.0024 0.4750  7 Pm 3.19-3.49, 3 Pb 3.28-3.43
Pb2 0.5152 0.4750 0.0024  7 Pm 3.19-3.49, 3 Pb 3.28-3.43
Pm1 0.0030 0.3365 0.6575  5 Pb 3.30-3.42, 2 Pm 3.46-3.67
Pb3 0.7534 0.7466 0.7466  6 Pm 3.28-3.38, 4 Pb 3.43
Pm2 0.5172 0.8076 0.1581  5 Pb 3.28-3.36, 1 Pm 3.39
Pb4 0.0074 0.0024 0.4750  7 Pm 3.19-3.49, 3 Pb 3.28-3.43
Pm3 0.5172 0.1581 0.8076  5 Pb 3.28-3.36, 1 Pm 3.39
Pb5 0.0074 0.4750 0.0024  7 Pm 3.19-3.49, 3 Pb 3.28-3.43
Pm4 0.0030 0.6575 0.3365  5 Pb 3.30-3.42, 2 Pm 3.46-3.67
Pr1 0.9591 0.0409 0.0409  10 Pm 3.65-3.94, 4 Pb 3.84
Pm5 0.3048 0.6952 0.6952  6 Pb 3.38-3.49, 1 Pm 3.56
Pm6 0.2692 0.2308 0.2308  4 Pb 3.19, 4 Pm 3.39-3.46
Pm7 0.6280 0.3720 0.3720  4 Pb 3.48, 3 Pm 3.56-3.68, 1 Pr 3.65

Computed properties:
DFT formation energy, eV per atom: -0.3242
Magnetic moment, μB per formula unit: 0.0
Density of states at the Fermi level, states/eV per cell: 14.0
SG: Imm2 (44)
Electronic total energy, eV/atom: -4.6762
Crystal system: orthorhombic

Entry 9:
The following is a DFT calculation (PBE) of a geometry-optimized Pm3PrPb structure.

Cell: 8.8783 9.0759 9.8524 Å, 121.43 90.00 90.00°
Closest atoms and distances in Å follow each position.
Fractional positions:
Pm1 0.9353 0.7310 0.9479  2 Pb 3.20-3.39, 3 Pr 3.52-3.58, 2 Pm 3.53-3.58
Pm2 0.5863 0.9145 0.2032  2 Pb 3.18-3.20, 1 Pr 3.49, 2 Pm 3.53-3.54
Pm3 0.1958 0.5914 0.5515  2 Pb 3.42-3.54, 3 Pm 3.54-3.76, 1 Pr 3.68
Pr1 0.0655 0.2989 0.7102  2 Pb 3.26-3.51, 4 Pm 3.49-3.58
Pm4 0.3042 0.5914 0.0515  2 Pb 3.42-3.54, 3 Pm 3.54-3.76, 1 Pr 3.68
Pm5 0.8042 0.4086 0.4485  2 Pb 3.42-3.54, 3 Pm 3.54-3.76, 1 Pr 3.68
Pm6 0.9137 0.9145 0.7032  2 Pb 3.18-3.20, 1 Pr 3.49, 2 Pm 3.53-3.54
Pm7 0.4353 0.2690 0.5521  2 Pb 3.20-3.39, 3 Pr 3.52-3.58, 2 Pm 3.53-3.58
Pm8 0.6958 0.4086 0.9485  2 Pb 3.42-3.54, 3 Pm 3.54-3.76, 1 Pr 3.68
Pb1 0.2536 0.9029 0.9592  6 Pm 3.18-3.54, 2 Pr 3.26-3.51
Pb2 0.2464 0.9029 0.4592  6 Pm 3.18-3.54, 2 Pr 3.26-3.51
Pb3 0.7464 0.0971 0.0408  6 Pm 3.18-3.54, 2 Pr 3.26-3.51
Pr2 0.4345 0.2989 0.2102  2 Pb 3.26-3.51, 4 Pm 3.49-3.58
Pm9 0.0863 0.0855 0.2968  2 Pb 3.18-3.20, 1 Pr 3.49, 2 Pm 3.53-3.54
Pb4 0.7536 0.0971 0.5408  6 Pm 3.18-3.54, 2 Pr 3.26-3.51
Pm10 0.0647 0.2690 0.0521  2 Pb 3.20-3.39, 3 Pr 3.52-3.58, 2 Pm 3.53-3.58
Pr3 0.5655 0.7011 0.7898  2 Pb 3.26-3.51, 4 Pm 3.49-3.58
Pm11 0.4137 0.0855 0.7968  2 Pb 3.18-3.20, 1 Pr 3.49, 2 Pm 3.53-3.54
Pr4 0.9345 0.7011 0.2898  2 Pb 3.26-3.51, 4 Pm 3.49-3.58
Pm12 0.5647 0.7310 0.4479  2 Pb 3.20-3.39, 3 Pr 3.52-3.58, 2 Pm 3.53-3.58

Computed properties:
DFT formation energy, eV per atom: -0.1657
Magnetic moment, μB per formula unit: 0.0
Density of states at the Fermi level, states/eV per cell: 22.2
SG: P2_1/c (14)
Electronic total energy, eV/atom: -4.7137
Crystal system: monoclinic

Entry 10:
The following is a DFT calculation (PBE) of a geometry-optimized Pm8PrPb2 structure.

Cell: 6.4992 9.0525 9.0525 Å, 44.70 94.58 94.58°
Closest atoms and distances in Å follow each position.
Fractional positions:
Pm1 0.1683 0.7881 0.7881  2 Pb 3.25-3.41
Pr1 0.0000 0.0000 0.0000  10 Pm 3.46-3.80
Pm2 0.4046 0.8421 0.3534  2 Pb 3.25-3.34, 3 Pm 3.36-3.60, 1 Pr 3.46
Pm3 0.4046 0.3534 0.8421  2 Pb 3.25-3.34, 3 Pm 3.36-3.60, 1 Pr 3.46
Pm4 0.5954 0.1579 0.6466  2 Pb 3.25-3.34, 3 Pm 3.36-3.60, 1 Pr 3.46
Pm5 0.5954 0.6466 0.1579  2 Pb 3.25-3.34, 3 Pm 3.36-3.60, 1 Pr 3.46
Pb1 0.3287 0.2554 0.2554  7 Pm 3.18-3.41
Pm6 0.1016 0.4165 0.4165  1 Pb 3.18, 1 Pm 3.20
Pb2 0.6713 0.7446 0.7446  7 Pm 3.18-3.41
Pm7 0.8984 0.5835 0.5835  1 Pb 3.18, 1 Pm 3.20
Pm8 0.8317 0.2119 0.2119  2 Pb 3.25-3.41

Computed properties:
DFT formation energy, eV per atom: -0.1048
Magnetic moment, μB per formula unit: 0.0
Density of states at the Fermi level, states/eV per cell: 14.5
SG: C2/m (12)
Electronic total energy, eV/atom: -4.6686
Crystal system: monoclinic

Entry 11:
The following is a DFT calculation (PBE) of a geometry-optimized PmPr9Pb2 structure.

Cell: 5.0580 5.0580 15.6279 Å, 90.00 90.00 90.00°
Closest atoms and distances in Å follow each position.
Fractional positions:
Pb1 0.0000 0.0000 0.3374  12 Pr 3.58-3.59
Pr1 0.5000 0.5000 0.6608  8 Pr 3.57-3.61, 4 Pb 3.58
Pb2 0.0000 0.0000 0.6626  12 Pr 3.58-3.59
Pr2 0.0000 0.5000 0.1743  8 Pr 3.58-3.72, 2 Pb 3.59, 2 Pm 3.72
Pr3 0.0000 0.5000 0.5000  8 Pr 3.57-3.58, 4 Pb 3.59
Pr4 0.5000 0.0000 0.1743  8 Pr 3.58-3.72, 2 Pb 3.59, 2 Pm 3.72
Pr5 0.5000 0.0000 0.8257  8 Pr 3.58-3.72, 2 Pb 3.59, 2 Pm 3.72
Pr6 0.5000 0.0000 0.5000  8 Pr 3.57-3.58, 4 Pb 3.59
Pr7 0.0000 0.5000 0.8257  8 Pr 3.58-3.72, 2 Pb 3.59, 2 Pm 3.72
Pr8 0.5000 0.5000 0.3392  8 Pr 3.57-3.61, 4 Pb 3.58
Pm1 0.0000 0.0000 0.0000  12 Pr 3.58-3.72
Pr9 0.5000 0.5000 0.0000  4 Pm 3.58, 8 Pr 3.72

Computed properties:
DFT formation energy, eV per atom: -0.2109
Magnetic moment, μB per formula unit: 0.0
Density of states at the Fermi level, states/eV per cell: 13.0
SG: P4/mmm (123)
Electronic total energy, eV/atom: -4.8094
Crystal system: tetragonal

Entry 12:
The following is a DFT calculation (PBE) of a geometry-optimized PmPr8Pb2 structure.

Cell: 6.4999 9.2380 9.2380 Å, 44.09 93.37 93.37°
Closest atoms and distances in Å follow each position.
Fractional positions:
Pb1 0.6682 0.7424 0.7424  7 Pr 3.21-3.43
Pr1 0.8357 0.2090 0.2090  2 Pb 3.28-3.43
Pr2 0.4029 0.8451 0.3503  2 Pb 3.31-3.39, 5 Pr 3.43-3.70, 1 Pm 3.49
Pr3 0.9026 0.5829 0.5829  1 Pr 3.18, 1 Pb 3.21
Pb2 0.3318 0.2576 0.2576  7 Pr 3.21-3.43
Pm1 0.0000 0.0000 0.0000  10 Pr 3.49-3.81
Pr4 0.4029 0.3503 0.8451  2 Pb 3.31-3.39, 5 Pr 3.43-3.70, 1 Pm 3.49
Pr5 0.0974 0.4171 0.4171  1 Pr 3.18, 1 Pb 3.21
Pr6 0.5971 0.1549 0.6497  2 Pb 3.31-3.39, 5 Pr 3.43-3.70, 1 Pm 3.49
Pr7 0.5971 0.6497 0.1549  2 Pb 3.31-3.39, 5 Pr 3.43-3.70, 1 Pm 3.49
Pr8 0.1643 0.7910 0.7910  2 Pb 3.28-3.43

Computed properties:
DFT formation energy, eV per atom: -0.1132
Magnetic moment, μB per formula unit: 0.0
Density of states at the Fermi level, states/eV per cell: 15.2
SG: C2/m (12)
Electronic total energy, eV/atom: -4.6953
Crystal system: monoclinic

Copy entry 11 word for word.
The following is a DFT calculation (PBE) of a geometry-optimized PmPr9Pb2 structure.

Cell: 5.0580 5.0580 15.6279 Å, 90.00 90.00 90.00°
Closest atoms and distances in Å follow each position.
Fractional positions:
Pb1 0.0000 0.0000 0.3374  12 Pr 3.58-3.59
Pr1 0.5000 0.5000 0.6608  8 Pr 3.57-3.61, 4 Pb 3.58
Pb2 0.0000 0.0000 0.6626  12 Pr 3.58-3.59
Pr2 0.0000 0.5000 0.1743  8 Pr 3.58-3.72, 2 Pb 3.59, 2 Pm 3.72
Pr3 0.0000 0.5000 0.5000  8 Pr 3.57-3.58, 4 Pb 3.59
Pr4 0.5000 0.0000 0.1743  8 Pr 3.58-3.72, 2 Pb 3.59, 2 Pm 3.72
Pr5 0.5000 0.0000 0.8257  8 Pr 3.58-3.72, 2 Pb 3.59, 2 Pm 3.72
Pr6 0.5000 0.0000 0.5000  8 Pr 3.57-3.58, 4 Pb 3.59
Pr7 0.0000 0.5000 0.8257  8 Pr 3.58-3.72, 2 Pb 3.59, 2 Pm 3.72
Pr8 0.5000 0.5000 0.3392  8 Pr 3.57-3.61, 4 Pb 3.58
Pm1 0.0000 0.0000 0.0000  12 Pr 3.58-3.72
Pr9 0.5000 0.5000 0.0000  4 Pm 3.58, 8 Pr 3.72

Computed properties:
DFT formation energy, eV per atom: -0.2109
Magnetic moment, μB per formula unit: 0.0
Density of states at the Fermi level, states/eV per cell: 13.0
SG: P4/mmm (123)
Electronic total energy, eV/atom: -4.8094
Crystal system: tetragonal